(1)
This record from Alexandria describes a relaxed TcBiNF2 crystal. The functional is PBE-GGA.

```
TcBiNF2
1.0
4.5018 0.0000 0.0000
0.0000 4.5018 0.0000
0.0000 0.0000 4.6278
F N Tc Bi
2 1 1 1
Cartesian
0.0000 2.2509 0.0000
2.2509 0.0000 0.0000
0.0000 0.0000 2.3139
2.2509 2.2509 2.3139
0.0000 0.0000 0.0000
```

- Energy above the lowest structure with this stoichiometry: 709 meV per atom
- Raw formation energy: 0.2238 eV/atom
- Symmetry: P4/mmm (123)
- Total DFT energy (no corrections): -5.039 eV/atom
- Total magnetic moment: 4.76 μB/cell

(2)
This record from Alexandria describes a relaxed CeBe4Rh crystal. The functional is PBE-GGA.

```
CeBe4Rh
1.0
-4.4441 0.9169 -1.4670
-3.7203 -1.5667 2.5393
-2.7156 3.0934 2.4083
Be Rh Ce
4 1 1
Cartesian
-6.8501 1.5385 2.1914
-4.5462 1.0631 2.9519
-5.4423 -0.0652 0.9429
-4.9214 2.3507 0.8750
0.0000 0.0000 0.0000
-2.7200 0.6109 0.8702
```

- Symmetry: F-43m (216)
- Total DFT energy (no corrections): -4.805 eV/atom
- Total magnetic moment: 0.93 μB/cell
- Formation energy: -107 meV per atom

(3)
This record from Alexandria describes a relaxed SmFe2B3 crystal. The functional is PBE-GGA.

```
SmFe2B3
1.0
5.0643 -0.0147 -0.0161
0.0128 5.1152 -0.6405
0.0128 -1.1200 5.0320
B Fe Sm
6 4 2
Cartesian
1.2881 3.4461 3.7879
3.8056 2.2557 0.2331
3.8056 0.0193 2.2677
3.8017 0.5345 0.5875
1.2843 1.7249 4.1424
1.2843 3.9613 2.1078
0.0128 0.0860 3.9349
2.5449 0.0787 3.9268
2.5449 3.9019 0.4486
0.0128 3.9092 0.4567
3.8153 2.6551 2.9184
1.2746 1.3255 1.4570
```

- Symmetry: Cmcm (63)
- Total DFT energy (no corrections): -7.321 eV/atom
- Total magnetic moment: 1.40 μB/cell
- Formation energy: -375 meV per atom

(4)
This record from Alexandria describes a relaxed BeC2 crystal. The functional is PBE-GGA.

```
BeC2
1.0
2.4306 0.0000 0.0000
-1.2153 2.1049 0.0000
0.0000 0.0000 8.3983
Be C
1 2
Cartesian
0.0000 0.0000 0.0000
0.0000 1.4033 4.1991
1.2153 0.7016 4.1991
```

- Energy above the lowest structure with this stoichiometry: 0 meV per atom
- Symmetry: P6/mmm (191)
- Total DFT energy (no corrections): -7.005 eV/atom
- Total magnetic moment: 0.00 μB/cell
- Formation energy: 386 meV per atom

(5)
This record from Alexandria describes a relaxed ScPt2Br crystal. The functional is PBE-GGA.

```
ScPt2Br
1.0
3.5447 0.0000 0.0000
0.0000 3.5447 0.0000
0.0000 0.0000 7.5806
Sc Pt Br
1 2 1
Cartesian
0.0000 0.0000 3.4571
1.7724 1.7724 1.7802
0.0000 0.0000 1.0246
1.7724 1.7724 5.1089
```

- Energy above the lowest structure with this stoichiometry: 198 meV per atom
- Raw formation energy: -0.5927 eV/atom
- Symmetry: P4mm (99)
- Total DFT energy (no corrections): -5.614 eV/atom
- Total magnetic moment: 0.00 μB/cell

(6)
This record from Alexandria describes a relaxed ThHgSbAu crystal. The functional is PBE-GGA.

```
ThHgSbAu
1.0
5.2079 0.0000 0.0000
2.6040 4.5102 0.0000
2.6040 1.5034 4.2523
Hg Au Sb Th
1 1 1 1
Cartesian
5.2079 3.0068 2.1261
0.0000 0.0000 0.0000
2.6040 1.5034 1.0631
7.8119 4.5102 3.1892
```

- Raw formation energy: -0.3716 eV/atom
- Symmetry: F-43m (216)
- Total DFT energy (no corrections): -4.152 eV/atom
- Total magnetic moment: 0.00 μB/cell

(7)
This record from Alexandria describes a relaxed Y2TaAl crystal. The functional is PBE-GGA.

```
Y2TaAl
1.0
8.1228 0.0000 0.0000
0.0000 8.1228 0.0000
4.0614 4.0614 2.9719
Al Y Ta
2 4 2
Cartesian
4.0614 8.1228 1.4859
4.0614 4.0614 0.0000
6.0921 6.1901 2.2289
2.1287 6.0921 0.7430
10.1535 10.0555 2.2289
5.9941 2.0307 0.7430
8.1228 4.0614 1.4859
0.0000 0.0000 0.0000
```

- Symmetry: I-42d (122)
- Total DFT energy (no corrections): -6.561 eV/atom
- Total magnetic moment: 0.00 μB/cell
- Formation energy: 570 meV per atom

(8)
This record from Alexandria describes a relaxed CsAcScSe3 crystal. The functional is PBE-GGA.

```
CsAcScSe3
1.0
-4.5733 -0.4490 0.5892
1.6042 -6.6370 7.3929
-0.3356 9.5368 4.6630
Ac Cs Se Sc
2 2 6 2
Cartesian
-0.1361 -3.0644 5.7144
-3.1685 5.5152 6.9306
-2.3998 1.7762 10.0472
-0.9048 0.6746 2.5978
-2.7535 -1.9007 4.4999
-1.2279 7.1657 5.0372
-3.3207 3.6100 4.2972
-0.5511 4.3515 8.1451
-2.0768 -4.7149 7.6079
0.0161 -1.1592 8.3479
-1.2076 5.0295 3.5669
-2.0971 -2.5787 9.0781
```

- Raw formation energy: -1.6249 eV/atom
- Symmetry: P2_1/m (11)
- Total DFT energy (no corrections): -5.249 eV/atom
- Total magnetic moment: 0.08 μB/cell

What is the formula in the eighth record? CsAcScSe3

Repeat the sixth record exactly.
This record from Alexandria describes a relaxed ThHgSbAu crystal. The functional is PBE-GGA.

```
ThHgSbAu
1.0
5.2079 0.0000 0.0000
2.6040 4.5102 0.0000
2.6040 1.5034 4.2523
Hg Au Sb Th
1 1 1 1
Cartesian
5.2079 3.0068 2.1261
0.0000 0.0000 0.0000
2.6040 1.5034 1.0631
7.8119 4.5102 3.1892
```

- Raw formation energy: -0.3716 eV/atom
- Symmetry: F-43m (216)
- Total DFT energy (no corrections): -4.152 eV/atom
- Total magnetic moment: 0.00 μB/cell